1.
## SrPm6Sm12 (GGA-PBE)

Data for an optimized crystal structure of SrPm6Sm12. Values from VASP.

```
&SYSTEM
  ibrav = 0, nat = 19, ntyp = 3
/
ATOMIC_SPECIES
Pm 145.00 Pm.upf
Sm 150.36 Sm.upf
Sr 87.62 Sr.upf
CELL_PARAMETERS angstrom
-0.851 7.419 -4.915
-3.227 -5.909 -5.882
-7.264 0.923 5.129
ATOMIC_POSITIONS crystal
Pm 0.899 0.348 0.899
Sm 0.239 0.761 0.500
Sm 0.916 0.640 0.640
Sm 0.360 0.360 0.084
Sm 0.360 0.084 0.360
Sm 0.500 0.761 0.239
Sm 0.761 0.239 0.500
Pm 0.899 0.899 0.348
Pm 0.652 0.101 0.101
Sm 0.084 0.360 0.360
Sm 0.500 0.239 0.761
Sm 0.761 0.500 0.239
Sm 0.239 0.500 0.761
Pm 0.101 0.101 0.652
Pm 0.101 0.652 0.101
Sr 0.000 0.000 0.000
Pm 0.348 0.899 0.899
Sm 0.640 0.916 0.640
Sm 0.640 0.640 0.916
```

## Properties
Theoretical density   6.7 Mg/m³
Total DFT energy (no corrections)   -83.024 eV per cell
DOS(E_F)   30.0 states/eV per cell
Formation enthalpy at 0 K   0.200 eV/atom

---

2.
## SrPm6Sm8 (GGA-PBE)

Data for an optimized crystal structure of SrPm6Sm8. Values from VASP.

```
&SYSTEM
  ibrav = 0, nat = 15, ntyp = 3
/
ATOMIC_SPECIES
Sm 150.36 Sm.upf
Pm 145.00 Pm.upf
Sr 87.62 Sr.upf
CELL_PARAMETERS angstrom
7.858 -0.309 2.944
1.935 7.622 2.944
-0.414 -0.309 8.381
ATOMIC_POSITIONS crystal
Sm 0.385 0.054 0.860
Pm 0.829 0.569 0.381
Sm 0.054 0.860 0.385
Pm 0.381 0.829 0.569
Sm 0.234 0.234 0.234
Pm 0.431 0.619 0.171
Sr 0.000 0.000 0.000
Pm 0.171 0.431 0.619
Pm 0.619 0.171 0.431
Pm 0.569 0.381 0.829
Sm 0.766 0.766 0.766
Sm 0.860 0.385 0.054
Sm 0.140 0.615 0.946
Sm 0.946 0.140 0.615
Sm 0.615 0.946 0.140
```

## Properties
Theoretical density   6.9 Mg/m³
Total DFT energy (no corrections)   -65.076 eV per cell
DOS(E_F)   20.2 states/eV per cell
Formation enthalpy at 0 K   0.191 eV/atom

---

3.
## SrPmSm2 (GGA-PBE)

Data for an optimized crystal structure of SrPmSm2. Values from VASP.

```
&SYSTEM
  ibrav = 0, nat = 4, ntyp = 3
/
ATOMIC_SPECIES
Sr 87.62 Sr.upf
Sm 150.36 Sm.upf
Pm 145.00 Pm.upf
CELL_PARAMETERS angstrom
3.674 0.000 0.000
1.837 3.181 0.000
1.837 1.060 13.028
ATOMIC_POSITIONS crystal
Sr 0.000 0.000 0.000
Sm 0.908 0.908 0.277
Sm 0.092 0.092 0.723
Pm 0.500 0.500 0.500
```

## Properties
Theoretical density   5.8 Mg/m³
Energy relative to the lowest polymorph listed for this composition   0.095 eV/atom
Total DFT energy (no corrections)   -15.098 eV per cell
DOS(E_F)   6.4 states/eV per cell
Formation enthalpy at 0 K   0.193 eV/atom

---

4.
## SrPmSm14 (GGA-PBE)

Data for an optimized crystal structure of SrPmSm14. Values from VASP.

```
&SYSTEM
  ibrav = 0, nat = 16, ntyp = 3
/
ATOMIC_SPECIES
Sm 150.36 Sm.upf
Pm 145.00 Pm.upf
Sr 87.62 Sr.upf
CELL_PARAMETERS angstrom
-2.608 -6.477 -2.266
6.716 -1.913 -2.261
1.968 -4.031 9.256
ATOMIC_POSITIONS crystal
Sm 0.620 0.620 0.245
Sm 0.130 0.620 0.755
Pm 0.375 0.375 0.500
Sm 0.875 0.375 0.500
Sm 0.375 0.875 0.500
Sm 0.130 0.130 0.245
Sm 0.620 0.130 0.245
Sm 0.875 0.375 0.000
Sm 0.620 0.130 0.755
Sm 0.130 0.130 0.755
Sm 0.620 0.620 0.755
Sm 0.375 0.875 0.000
Sm 0.130 0.620 0.245
Sm 0.875 0.875 0.000
Sm 0.375 0.375 0.000
Sr 0.875 0.875 0.500
```

## Properties
Theoretical density   7.0 Mg/m³
Total DFT energy (no corrections)   -71.705 eV per cell
DOS(E_F)   22.6 states/eV per cell
Formation enthalpy at 0 K   0.050 eV/atom

---

5.
## Sr3Pm2SmTe6 (GGA-PBE)

Data for an optimized crystal structure of Sr3Pm2SmTe6. Values from VASP.

```
&SYSTEM
  ibrav = 0, nat = 12, ntyp = 4
/
ATOMIC_SPECIES
Te 127.60 Te.upf
Sr 87.62 Sr.upf
Pm 145.00 Pm.upf
Sm 150.36 Sm.upf
CELL_PARAMETERS angstrom
-3.050 -2.740 1.953
6.023 -7.012 -0.432
3.273 5.761 7.913
ATOMIC_POSITIONS crystal
Te 0.998 0.758 0.995
Te 0.663 0.089 0.327
Sr 0.167 0.834 0.334
Te 0.331 0.422 0.662
Te 0.002 0.242 0.005
Pm 0.167 0.335 0.334
Sm 0.500 0.000 0.000
Pm 0.833 0.665 0.666
Te 0.669 0.578 0.338
Sr 0.833 0.166 0.666
Te 0.337 0.911 0.673
Sr 0.500 0.500 0.000
```

## Properties
Theoretical density   6.0 Mg/m³
Total DFT energy (no corrections)   -56.645 eV per cell
E_form (uncorrected)   -1.54 eV per atom
DOS(E_F)   5.4 states/eV per cell

---

6.
## Sr3PmSm2Te6 (GGA-PBE)

Data for an optimized crystal structure of Sr3PmSm2Te6. Values from VASP.

```
&SYSTEM
  ibrav = 0, nat = 12, ntyp = 4
/
ATOMIC_SPECIES
Pm 145.00 Pm.upf
Te 127.60 Te.upf
Sr 87.62 Sr.upf
Sm 150.36 Sm.upf
CELL_PARAMETERS angstrom
-2.659 -4.422 5.922
6.976 3.562 0.592
-4.821 6.403 0.877
ATOMIC_POSITIONS crystal
Pm 0.000 0.000 0.000
Te 0.255 0.255 0.762
Te 0.414 0.079 0.238
Te 0.745 0.745 0.238
Sr 0.500 0.500 0.500
Te 0.586 0.921 0.762
Sm 0.667 0.333 0.000
Te 0.921 0.586 0.762
Sr 0.166 0.834 0.500
Sm 0.333 0.667 0.000
Sr 0.834 0.166 0.500
Te 0.079 0.414 0.238
```

## Properties
Theoretical density   6.0 Mg/m³
Total DFT energy (no corrections)   -56.567 eV per cell
E_form (uncorrected)   -1.54 eV per atom
DOS(E_F)   5.3 states/eV per cell

---

7.
## SrPmSmTl (GGA-PBE)

Data for an optimized crystal structure of SrPmSmTl. Values from VASP.

```
&SYSTEM
  ibrav = 0, nat = 4, ntyp = 4
/
ATOMIC_SPECIES
Sr 87.62 Sr.upf
Sm 150.36 Sm.upf
Pm 145.00 Pm.upf
Tl 204.38 Tl.upf
CELL_PARAMETERS angstrom
-1.467 -4.108 3.757
-1.393 -5.259 -1.883
3.549 -4.431 0.951
ATOMIC_POSITIONS crystal
Sr 0.000 0.000 0.000
Sm 0.500 0.500 0.500
Pm 0.250 0.250 0.250
Tl 0.750 0.750 0.750
```

## Properties
Theoretical density   7.2 Mg/m³
Total DFT energy (no corrections)   -13.257 eV per cell
DOS(E_F)   6.0 states/eV per cell
Formation enthalpy at 0 K   0.065 eV/atom

---

8.
## Pm2SmTa (GGA-PBE)

Data for an optimized crystal structure of Pm2SmTa. Values from VASP.

```
&SYSTEM
  ibrav = 0, nat = 4, ntyp = 3
/
ATOMIC_SPECIES
Sm 150.36 Sm.upf
Ta 180.95 Ta.upf
Pm 145.00 Pm.upf
CELL_PARAMETERS angstrom
3.313 0.000 0.000
1.656 2.869 0.000
1.656 0.956 12.058
ATOMIC_POSITIONS crystal
Sm 0.500 0.500 0.500
Ta 0.000 0.000 0.000
Pm 0.919 0.919 0.244
Pm 0.081 0.081 0.756
```

## Properties
Theoretical density   9.0 Mg/m³
Total DFT energy (no corrections)   -23.430 eV per cell
DOS(E_F)   6.8 states/eV per cell
Formation enthalpy at 0 K   0.661 eV/atom

---

9.
## PmSm2Ta (GGA-PBE)

Data for an optimized crystal structure of PmSm2Ta. Values from VASP.

```
&SYSTEM
  ibrav = 0, nat = 4, ntyp = 3
/
ATOMIC_SPECIES
Sm 150.36 Sm.upf
Ta 180.95 Ta.upf
Pm 145.00 Pm.upf
CELL_PARAMETERS angstrom
3.312 0.000 0.000
1.656 2.869 0.000
1.656 0.956 12.027
ATOMIC_POSITIONS crystal
Sm 0.081 0.081 0.756
Ta 0.000 0.000 0.000
Pm 0.500 0.500 0.500
Sm 0.919 0.919 0.244
```

## Properties
Theoretical density   9.1 Mg/m³
Total DFT energy (no corrections)   -23.417 eV per cell
DOS(E_F)   6.7 states/eV per cell
Formation enthalpy at 0 K   0.656 eV/atom

---

10.
## TbPm4Sm (GGA-PBE)

Data for an optimized crystal structure of TbPm4Sm. Values from VASP.

```
&SYSTEM
  ibrav = 0, nat = 12, ntyp = 3
/
ATOMIC_SPECIES
Pm 145.00 Pm.upf
Tb 158.93 Tb.upf
Sm 150.36 Sm.upf
CELL_PARAMETERS angstrom
-3.835 4.853 0.274
-3.336 -2.402 -4.155
-2.526 -6.504 9.887
ATOMIC_POSITIONS crystal
Pm 0.647 0.089 0.678
Pm 0.758 0.832 0.163
Pm 0.406 0.332 0.163
Tb 0.827 0.250 0.000
Sm 0.500 0.500 0.500
Pm 0.594 0.668 0.837
Pm 0.031 0.589 0.678
Pm 0.969 0.411 0.322
Pm 0.242 0.168 0.837
Pm 0.353 0.911 0.322
Tb 0.173 0.750 0.000
Sm 0.000 0.000 0.500
```

## Properties
Theoretical density   7.2 Mg/m³
Energy relative to the lowest polymorph listed for this composition   0.000 eV/atom
Total DFT energy (no corrections)   -55.930 eV per cell
DOS(E_F)   19.9 states/eV per cell
Formation enthalpy at 0 K   0.064 eV/atom

---

11.
## TbPm5Sm5 (GGA-PBE)

Data for an optimized crystal structure of TbPm5Sm5. Values from VASP.

```
&SYSTEM
  ibrav = 0, nat = 11, ntyp = 3
/
ATOMIC_SPECIES
Sm 150.36 Sm.upf
Pm 145.00 Pm.upf
Tb 158.93 Tb.upf
CELL_PARAMETERS angstrom
6.590 -1.998 1.252
-1.137 7.201 4.850
-1.042 1.946 9.470
ATOMIC_POSITIONS crystal
Sm 0.687 0.956 0.681
Sm 0.313 0.044 0.319
Pm 0.853 0.508 0.854
Pm 0.769 0.913 0.354
Sm 0.351 0.496 0.777
Sm 0.649 0.504 0.223
Pm 0.231 0.087 0.646
Pm 0.147 0.492 0.146
Pm 0.500 0.000 0.000
Tb 0.000 0.000 0.000
Sm 0.000 0.500 0.500
```

## Properties
Theoretical density   7.1 Mg/m³
Energy relative to the lowest polymorph listed for this composition   0.000 eV/atom
Total DFT energy (no corrections)   -50.465 eV per cell
DOS(E_F)   16.2 states/eV per cell
Formation enthalpy at 0 K   0.138 eV/atom

---

12.
## Tb4Pm5Sm (GGA-PBE)

Data for an optimized crystal structure of Tb4Pm5Sm. Values from VASP.

```
&SYSTEM
  ibrav = 0, nat = 10, ntyp = 3
/
ATOMIC_SPECIES
Pm 145.00 Pm.upf
Sm 150.36 Sm.upf
Tb 158.93 Tb.upf
CELL_PARAMETERS angstrom
-2.062 1.959 -2.211
-2.897 -8.754 -5.054
-6.242 -2.740 6.329
ATOMIC_POSITIONS crystal
Pm 0.500 0.500 0.000
Sm 0.500 0.000 0.000
Tb 0.954 0.760 0.909
Tb 0.317 0.911 0.634
Pm 0.142 0.766 0.284
Tb 0.683 0.089 0.366
Tb 0.046 0.240 0.091
Pm 0.190 0.404 0.379
Pm 0.858 0.234 0.716
Pm 0.810 0.596 0.621
```

## Properties
Theoretical density   7.3 Mg/m³
Total DFT energy (no corrections)   -45.464 eV per cell
DOS(E_F)   15.4 states/eV per cell
Formation enthalpy at 0 K   0.153 eV/atom

---

Number 1: size of the total moment 0.0000 μB per atom. Number 2: size of the total moment 0.0000 μB per atom. Number 3: size of the total moment 0.0000 μB per atom. Number 4: size of the total moment 0.0000 μB per atom. Number 5: size of the total moment 0.0000 μB per atom. Number 6: size of the total moment 0.0000 μB per atom. Number 7: size of the total moment 0.1841 μB per atom. Number 8: size of the total moment 0.0003 μB per atom. Number 9: size of the total moment 0.0003 μB per atom. Number 10: size of the total moment 0.0000 μB per atom. Number 11: size of the total moment 0.0000 μB per atom. Number 12: size of the total moment 0.0000 μB per atom.